(1)
ZnBC2 | PBE-GGA | optimized geometry

abc: 3.6699 3.6699 3.6699
angles: 60.00 60.00 60.00
Sites, in units of the cell vectors:
Zn1 0.0000 0.0000 0.0000
B1 0.5000 0.5000 0.5000
C1 0.2500 0.2500 0.2500
C2 0.7500 0.7500 0.7500

## Properties
* total magnetic moment: 0.0 Bohr magnetons per cell
* symmetry: Fm-3m (225)
* polymorph energy (0 for the lowest one): 6.54 eV/f.u.
* ρ: 4.8 g/cm3

***

(2)
Al2ZnCr | PBE-GGA | optimized geometry

abc: 4.8596 4.8596 4.6006
angles: 98.64 98.64 31.96
Sites, in units of the cell vectors:
Al1 0.0000 0.0000 0.0000
Al2 0.2362 0.2362 0.7068
Zn1 0.4761 0.4761 0.4726
Cr1 0.7390 0.7390 0.2058

## Properties
* total magnetic moment: 0.0 Bohr magnetons per cell
* calculated total energy: -4.57 eV per atom
* symmetry: Cm (8)
* ρ: 5.0 g/cm3